Material: Sc2TiGa2
Method: DFT, GGA-PBE
State: optimized geometry

## Properties
**ΔE_f**: -0.16 eV per atom
**Raw total energy**: -5.485 eV/atom
**ΔE to the lowest computed polymorph**: 266 meV/atom
**Symmetry**: P4/mbm

The structure in POSCAR format:
```
Sc2TiGa2
1.0
8.0178 0.0000 0.0000
0.0000 8.0178 0.0000
0.0000 0.0000 3.0509
Sc Ti Ga
4 2 4
direct
0.1278 0.3722 0.0000
0.3722 0.8722 0.0000
0.6278 0.1278 0.0000
0.8722 0.6278 0.0000
0.0000 0.0000 0.0000
0.5000 0.5000 0.0000
0.1736 0.6736 0.5000
0.3264 0.1736 0.5000
0.6736 0.8264 0.5000
0.8264 0.3264 0.5000
```